# LiSiH2I PBE-GGA relaxed
data_LiSiH2I
_cell_length_a 4.0295
_cell_length_b 4.0295
_cell_length_c 5.4163
_cell_angle_alpha 90.00
_cell_angle_beta 90.00
_cell_angle_gamma 90.00
_symmetry_space_group_name_H-M 'P 4/m m m'
_symmetry_Int_Tables_number 123
_symmetry_space_group_name_Hall '-P 4 2'
loop_
_atom_site_label
_atom_site_fract_x
_atom_site_fract_y
_atom_site_fract_z
Li1 0.0000 0.0000 0.0000
Si1 0.5000 0.5000 0.5000
H1 0.0000 0.5000 0.0000
I1 0.0000 0.0000 0.5000
# E_tot, eV for the cell shown: -12.15
# M_tot, μB per formula unit: 0.1
# Volume, A^3/atom: 17.59
# DOS(E_F), states/eV/cell: 2.1
# Mass density, kg/m³: 3096